(1)
First-principles (PBE) data for CeSmGe2Pt2 after structural relaxation, as listed in Alexandria.

The value obtained for the calculated volume is 127.61 Å³ per cell. The value obtained for the formation energy is -1.06 eV per atom. The value obtained for the calculated total energy is -6.387 eV/atom. The total magnetization comes out at 0.00 μB/cell.

The space group is P-3m1 (No. 164) and the conventional cell measures 4.3846, 4.3846 and 7.6649 Å, with angles of 90.00, 90.00 and 120.00 degrees. The inequivalent atoms are Ce at (0.0000, 0.0000, 0.0000), Sm at (0.0000, 0.0000, 0.5000), Ge at (0.3333, 0.6667, 0.2450) and Pt at (0.3333, 0.6667, 0.7499).

---

(2)
First-principles (PBE) data for CeSmGe2Pt5 after structural relaxation, as listed in Alexandria.

The value obtained for the calculated volume is 169.88 Å³ per cell. The value obtained for the formation energy is -0.89 eV per atom. The value obtained for the calculated total energy is -6.457 eV/atom. The total magnetization comes out at 0.84 μB/cell.

The space group is P4/mmm (No. 123) and the conventional cell measures 4.343, 4.343 and 9.007 Å, with angles of 90.00, 90.00 and 90.00 degrees. The inequivalent atoms are Ce at (0.000, 0.000, 0.000), Sm at (0.000, 0.000, 0.500), Ge at (0.500, 0.500, 0.138), Pt at (0.000, 0.500, 0.273) and Pt at (0.500, 0.500, 0.500).

---

(3)
First-principles (PBE) data for CeSn2Ge2Pt7 after structural relaxation, as listed in Alexandria.

The value obtained for the calculated volume is 494.28 Å³ per cell. The value obtained for the formation energy is -0.60 eV per atom. The value obtained for the calculated total energy is -6.052 eV/atom. The total magnetization comes out at 0.00 μB/cell.

The space group is C2/m (No. 12) and the conventional cell measures 5.599, 5.597 and 16.016 Å, with angles of 90.00, 99.99 and 90.00 degrees. The inequivalent atoms are Ce at (0.000, 0.000, 0.000), Sn at (0.213, 0.000, 0.427), Ge at (0.120, 0.500, 0.242), Pt at (0.000, 0.500, 0.000), Pt at (0.180, 0.250, 0.858) and Pt at (0.198, 0.500, 0.397).

---

(4)
First-principles (PBE) data for Ce2SnGe3Pt4 after structural relaxation, as listed in Alexandria.

The value obtained for the calculated volume is 201.22 Å³ per cell. The value obtained for the formation energy is -0.86 eV per atom. The value obtained for the calculated total energy is -6.250 eV/atom. The total magnetization comes out at 1.34 μB/cell.

The space group is P-4m2 (No. 115) and the conventional cell measures 4.402, 4.402 and 10.386 Å, with angles of 90.00, 90.00 and 90.00 degrees. The inequivalent atoms are Ce at (0.000, 0.500, 0.237), Sn at (0.000, 0.000, 0.500), Ge at (0.000, 0.500, 0.875), Ge at (0.500, 0.500, 0.500), Pt at (0.000, 0.000, 0.000), Pt at (0.000, 0.500, 0.640) and Pt at (0.500, 0.500, 0.000).

---

(5)
First-principles (PBE) data for Ce2SnGe4Pt3 after structural relaxation, as listed in Alexandria.

The value obtained for the calculated volume is 203.50 Å³ per cell. The value obtained for the formation energy is -0.74 eV per atom. The value obtained for the calculated total energy is -5.986 eV/atom. The total magnetization comes out at 1.49 μB/cell.

The space group is P-4m2 (No. 115) and the conventional cell measures 4.434, 4.434 and 10.349 Å, with angles of 90.00, 90.00 and 90.00 degrees. The inequivalent atoms are Ce at (0.000, 0.500, 0.237), Sn at (0.000, 0.000, 0.500), Ge at (0.000, 0.000, 0.000), Ge at (0.000, 0.500, 0.649), Ge at (0.500, 0.500, 0.000), Pt at (0.000, 0.500, 0.883) and Pt at (0.500, 0.500, 0.500).

---

(6)
First-principles (PBE) data for Ce2SnGePt6 after structural relaxation, as listed in Alexandria.

The value obtained for the calculated volume is 393.49 Å³ per cell. The value obtained for the formation energy is -0.74 eV per atom. The value obtained for the calculated total energy is -6.415 eV/atom. The total magnetization comes out at 1.68 μB/cell.

The space group is C2/m (No. 12) and the conventional cell measures 11.887, 5.500 and 7.805 Å, with angles of 90.00, 129.55 and 90.00 degrees. The inequivalent atoms are Ce at (0.002, 0.000, 0.247), Sn at (0.000, 0.500, 0.500), Ge at (0.000, 0.500, 0.000), Pt at (0.180, 0.500, 0.935) and Pt at (0.243, 0.252, 0.304).

---

(7)
First-principles (PBE) data for SrCeGe2Pt5 after structural relaxation, as listed in Alexandria.

The value obtained for the calculated volume is 175.03 Å³ per cell. The value obtained for the formation energy is -0.71 eV per atom. The value obtained for the calculated total energy is -5.937 eV/atom. The total magnetization comes out at 0.64 μB/cell.

The space group is P4/mmm (No. 123) and the conventional cell measures 4.486, 4.486 and 8.699 Å, with angles of 90.00, 90.00 and 90.00 degrees. The inequivalent atoms are Sr at (0.000, 0.000, 0.000), Ce at (0.000, 0.000, 0.500), Ge at (0.500, 0.500, 0.354), Pt at (0.000, 0.500, 0.238) and Pt at (0.500, 0.500, 0.000).

---

(8)
First-principles (PBE) data for Ce2TaGe4Pt3 after structural relaxation, as listed in Alexandria.

The value obtained for the calculated volume is 196.08 Å³ per cell. The value obtained for the formation energy is -0.78 eV per atom. The value obtained for the calculated total energy is -6.815 eV/atom. The total magnetization comes out at 1.98 μB/cell.

The space group is P-4m2 (No. 115) and the conventional cell measures 4.279, 4.279 and 10.711 Å, with angles of 90.00, 90.00 and 90.00 degrees. The inequivalent atoms are Ce at (0.000, 0.500, 0.241), Ta at (0.000, 0.000, 0.500), Ge at (0.000, 0.000, 0.000), Ge at (0.000, 0.500, 0.642), Ge at (0.500, 0.500, 0.000), Pt at (0.000, 0.500, 0.874) and Pt at (0.500, 0.500, 0.500).

---

(9)
First-principles (PBE) data for TbCeGePt after structural relaxation, as listed in Alexandria.

The value obtained for the calculated volume is 218.06 Å³ per cell. The value obtained for the formation energy is -0.64 eV per atom. The value obtained for the calculated total energy is -5.946 eV/atom. The distance to the lowest polymorph of the same formula is 179 meV/atom. The total magnetization comes out at 1.88 μB/cell.

The space group is P4/nmm (No. 129, origin choice 2) and the conventional cell measures 4.570, 4.570 and 10.441 Å, with angles of 90.00, 90.00 and 90.00 degrees. The inequivalent atoms are Tb at (0.250, 0.750, 0.000), Ce at (0.250, 0.250, 0.337), Ge at (0.250, 0.250, 0.610) and Pt at (0.250, 0.250, 0.841).

---

(10)
First-principles (PBE) data for Tb2Ce2Ge4Pt after structural relaxation, as listed in Alexandria.

The value obtained for the calculated volume is 433.50 Å³ per cell. The value obtained for the formation energy is -0.48 eV per atom. The value obtained for the calculated total energy is -5.555 eV/atom. The total magnetization comes out at 3.49 μB/cell.

The space group is I4/mmm (No. 139) and the conventional cell measures 7.256, 7.256 and 8.233 Å, with angles of 90.00, 90.00 and 90.00 degrees. The inequivalent atoms are Tb at (0.000, 0.500, 0.250), Ce at (0.000, 0.000, 0.165), Ge at (0.243, 0.243, 0.500) and Pt at (0.000, 0.000, 0.500).

---

(11)
First-principles (PBE) data for TbCe2Ge2Pt7 after structural relaxation, as listed in Alexandria.

The value obtained for the calculated volume is 471.62 Å³ per cell. The value obtained for the formation energy is -0.96 eV per atom. The value obtained for the calculated total energy is -6.625 eV/atom. The total magnetization comes out at 3.57 μB/cell.

The space group is C2/m (No. 12) and the conventional cell measures 5.853, 5.760 and 14.143 Å, with angles of 90.00, 98.43 and 90.00 degrees. The inequivalent atoms are Tb at (0.000, 0.000, 0.000), Ce at (0.114, 0.000, 0.358), Ge at (0.092, 0.500, 0.253), Pt at (0.000, 0.500, 0.000), Pt at (0.124, 0.500, 0.429) and Pt at (0.195, 0.250, 0.847).

---

(12)
First-principles (PBE) data for TbCeGePt after structural relaxation, as listed in Alexandria.

The value obtained for the calculated volume is 370.69 Å³ per cell. The value obtained for the formation energy is -0.82 eV per atom. The value obtained for the calculated total energy is -6.125 eV/atom. The distance to the lowest polymorph of the same formula is 0 meV/atom. The total magnetization comes out at 3.72 μB/cell.

The space group is F-43m (No. 216) and the conventional cell measures 7.183, 7.183 and 7.183 Å, with angles of 90.00, 90.00 and 90.00 degrees. The inequivalent atoms are Tb at (0.000, 0.000, 0.000), Ce at (0.000, 0.000, 0.500), Ge at (0.250, 0.250, 0.750) and Pt at (0.250, 0.250, 0.250).